No. 1
CsLa2Mg: relaxed, GGA-PBE.

Values from the calculation:
Calculated density = 4.38 g cm⁻³
DFT formation energy = 0.5533 eV per atom
Symmetry = I-42d (122)

a = 5.005 Å, b = 5.005 Å, c = 13.640 Å
α = 79.43°, β = 79.43°, γ = 90.00°
Fractional positions:
Cs1 0.000 0.000 0.000
Cs2 0.750 0.250 0.500
Mg1 0.500 0.500 0.000
Mg2 0.250 0.750 0.500
La1 0.589 0.125 0.250
La2 0.161 0.625 0.250
La3 0.375 0.411 0.750
La4 0.875 0.839 0.750

***

No. 2
CsLaMg14: relaxed, GGA-PBE.

Values from the calculation:
Calculated density = 2.35 g cm⁻³
DFT formation energy = 0.1401 eV per atom
Symmetry = P-6m2 (187)

a = 6.838 Å, b = 6.838 Å, c = 10.689 Å
α = 90.00°, β = 90.00°, γ = 120.00°
Fractional positions:
Cs1 0.000 0.000 0.500
La1 0.000 0.000 0.000
Mg1 0.005 0.502 0.000
Mg2 0.008 0.504 0.500
Mg3 0.498 0.995 0.000
Mg4 0.496 0.992 0.500
Mg5 0.498 0.502 0.000
Mg6 0.496 0.504 0.500
Mg7 0.178 0.822 0.240
Mg8 0.178 0.822 0.760
Mg9 0.178 0.355 0.240
Mg10 0.178 0.355 0.760
Mg11 0.645 0.822 0.240
Mg12 0.645 0.822 0.760
Mg13 0.667 0.333 0.247
Mg14 0.667 0.333 0.753

***

No. 3
CsLaMg14: relaxed, GGA-PBE.

Values from the calculation:
Calculated density = 2.42 g cm⁻³
DFT formation energy = 0.1404 eV per atom
Symmetry = Amm2 (38)

a = 6.578 Å, b = 6.578 Å, c = 10.837 Å
α = 90.00°, β = 90.00°, γ = 116.64°
Fractional positions:
Cs1 0.403 0.597 0.500
La1 0.897 0.103 0.500
Mg1 0.811 0.189 0.000
Mg2 0.307 0.693 0.000
Mg3 0.396 0.095 0.500
Mg4 0.325 0.184 0.000
Mg5 0.905 0.604 0.500
Mg6 0.816 0.675 0.000
Mg7 0.139 0.355 0.220
Mg8 0.139 0.355 0.780
Mg9 0.645 0.861 0.220
Mg10 0.645 0.861 0.780
Mg11 0.652 0.348 0.250
Mg12 0.652 0.348 0.750
Mg13 0.134 0.866 0.250
Mg14 0.134 0.866 0.750

***

No. 4
CsLaMg6: relaxed, GGA-PBE.

Values from the calculation:
Calculated density = 2.78 g cm⁻³
DFT formation energy = 0.1724 eV per atom
Symmetry = Amm2 (38)

a = 7.087 Å, b = 7.087 Å, c = 5.395 Å
α = 90.00°, β = 90.00°, γ = 113.19°
Fractional positions:
Cs1 0.618 0.382 0.500
La1 0.895 0.105 0.000
Mg1 0.352 0.036 0.000
Mg2 0.964 0.648 0.000
Mg3 0.400 0.600 0.000
Mg4 0.138 0.438 0.500
Mg5 0.562 0.862 0.500
Mg6 0.070 0.930 0.500

***

No. 5
CsLaMgO2: relaxed, GGA-PBE.

Values from the calculation:
Energy relative to the elements, uncorrected = -0.188 eV/atom
Calculated density = 5.36 g cm⁻³
Symmetry = P4/mmm (123)

a = 4.327 Å, b = 5.428 Å, c = 4.327 Å
α = 90.00°, β = 90.00°, γ = 90.00°
Fractional positions:
Cs1 0.500 0.500 0.500
Mg1 0.000 0.000 0.000
O1 0.000 0.000 0.500
O2 0.500 0.000 0.000
La1 0.000 0.500 0.000

***

No. 6
CsLaMg6O8: relaxed, GGA-PBE.

Values from the calculation:
Energy relative to the elements, uncorrected = -2.093 eV/atom
Calculated density = 4.16 g cm⁻³
Symmetry = P4/mmm (123)

a = 4.843 Å, b = 4.843 Å, c = 9.287 Å
α = 90.00°, β = 90.00°, γ = 90.00°
Fractional positions:
Cs1 0.500 0.500 0.000
La1 0.000 0.000 0.000
Mg1 0.000 0.000 0.500
Mg2 0.500 0.500 0.500
Mg3 0.000 0.500 0.284
Mg4 0.000 0.500 0.716
Mg5 0.500 0.000 0.284
Mg6 0.500 0.000 0.716
O1 0.000 0.000 0.274
O2 0.000 0.000 0.726
O3 0.500 0.500 0.293
O4 0.500 0.500 0.707
O5 0.000 0.500 0.000
O6 0.000 0.500 0.500
O7 0.500 0.000 0.000
O8 0.500 0.000 0.500

***

No. 7
CsLa2MgOs: relaxed, GGA-PBE.

Values from the calculation:
Calculated density = 5.85 g cm⁻³
DFT formation energy = 0.1407 eV per atom
Symmetry = P4/mmm (123)

a = 5.621 Å, b = 5.621 Å, c = 5.616 Å
α = 90.00°, β = 90.00°, γ = 90.00°
Fractional positions:
Cs1 0.500 0.500 0.500
Mg1 0.000 0.000 0.500
Os1 0.000 0.000 0.000
La1 0.000 0.500 0.000
La2 0.500 0.000 0.000

***

No. 8
CsLa2MgRu: relaxed, GGA-PBE.

Values from the calculation:
Calculated density = 5.11 g cm⁻³
DFT formation energy = 0.0387 eV per atom
Symmetry = P4/mmm (123)

a = 5.523 Å, b = 5.523 Å, c = 5.713 Å
α = 90.00°, β = 90.00°, γ = 90.00°
Fractional positions:
Cs1 0.500 0.500 0.500
Ru1 0.000 0.000 0.000
Mg1 0.000 0.000 0.500
La1 0.000 0.500 0.000
La2 0.500 0.000 0.000

***

| no. | raw total energy (hartree per atom) |
| --- | --- |
| 1 | -0.0927 |
| 2 | -0.0594 |
| 3 | -0.0594 |
| 4 | -0.0642 |
| 5 | -0.1340 |
| 6 | -0.2033 |
| 7 | -0.1678 |
| 8 | -0.1572 |